Computed, not measured: Ho2CoB2O6 after structural relaxation at the PBE+U level of DFT.

- magnetic moment (μB per formula unit) = 2.934
- electronic total energy (eV for the cell shown) = -167.72

abc: 8.609 4.878 5.969
angles: 90.00 118.82 90.00
Space group C2/m (No. 12)
Inequivalent atoms, fractional coordinates:
Ho  0.211  0.000  0.211 (multiplicity 4)
Co  0.000  0.000  0.500 (multiplicity 2)
B  0.033  0.500  0.262 (multiplicity 4)
O  0.062  0.255  0.833 (multiplicity 8)
O  0.217  0.500  0.358 (multiplicity 4)